Computed, not measured: a geometry-optimized LiTb4Er5 structure at the PBE level of DFT.

POSCAR file:
```
LiTb4Er5
1.0
3.420 0.000 -0.782
0.064 10.517 0.279
0.172 0.936 8.623
Tb Er Li
4 5 1
Cartesian
3.626 9.039 7.991
1.284 8.343 5.617
0.029 2.414 0.129
2.371 3.110 2.502
0.666 10.492 2.912
2.990 0.960 5.208
2.986 5.137 5.191
0.670 6.315 2.929
1.742 5.258 -0.252
1.710 0.000 -0.391
```

Properties
total DFT energy (no corrections): -41.46 eV for the cell shown
mass density: 7.9 g/cm³
D(E_F): 14.68 states/eV/cell
magnetization: 0.0 Bohr magnetons per cell